Entry 1:
# PBE Tl2SeF, relaxed
data_Tl2SeF
_chemical_formula_sum 'Tl4 Se2 F2'
_symmetry_space_group_name_H-M 'P 1'
_symmetry_Int_Tables_number 1
_cell_length_a 4.2044
_cell_length_b 4.2185
_cell_length_c 14.0913
_cell_angle_alpha 108.52
_cell_angle_beta 90.00
_cell_angle_gamma 90.00
loop_
_symmetry_equiv_pos_as_xyz
'x,y,z'
loop_
_atom_site_label
_atom_site_type_symbol
_atom_site_fract_x
_atom_site_fract_y
_atom_site_fract_z
Tl1 Tl 0.7500 0.1420 0.8975
Tl2 Tl 0.7500 0.3640 0.6077
Tl3 Tl 0.2500 0.8580 0.1025
Tl4 Tl 0.2500 0.6360 0.3923
F1 F 0.2500 0.2489 0.4992
F2 F 0.7500 0.7511 0.5008
Se1 Se 0.2500 0.6199 0.8766
Se2 Se 0.7500 0.3801 0.1234
# * uncorrected formation energy: -0.98 eV per atom
# * energy above the lowest structure with this stoichiometry: 0.000 eV/atom
# * uncorrected energy: -3.51 eV/atom
# * crystal system: monoclinic

Entry 2:
# PBE CrCd2Co, relaxed
data_CrCd2Co
_chemical_formula_sum 'Cr1 Cd2 Co1'
_symmetry_space_group_name_H-M 'P 1'
_symmetry_Int_Tables_number 1
_cell_length_a 2.8492
_cell_length_b 2.8492
_cell_length_c 7.8270
_cell_angle_alpha 90.00
_cell_angle_beta 90.00
_cell_angle_gamma 90.01
loop_
_symmetry_equiv_pos_as_xyz
'x,y,z'
loop_
_atom_site_label
_atom_site_type_symbol
_atom_site_fract_x
_atom_site_fract_y
_atom_site_fract_z
Cd1 Cd 0.0000 0.0000 0.9669
Cd2 Cd 0.5000 0.5000 0.2905
Co1 Co 0.0000 0.0000 0.5417
Cr1 Cr 0.5000 0.5000 0.7009
# * energy above the lowest structure with this stoichiometry: 0.000 eV/atom
# * uncorrected energy: -4.38 eV/atom
# * energy of formation from the pure elements: 1.04 eV/f.u.
# * crystal system: tetragonal